Record 1
A geometry-optimized NbFePt structure. Source: OQMD via LeMat-Bulk, functional PBE-GGA.

## Properties
Electronic total energy   -23.65 eV per cell
Formation energy   0.2709 eV/atom
Total moment   0.41 μB/f.u.
Space group   F-43m

Cell: 4.194 4.194 4.194 Å, 60.00 60.00 60.00°
Element x y z (fractional)
Nb: 0.000 0.000 0.000
Fe: 0.750 0.750 0.750
Pt: 0.250 0.250 0.250

Record 2
A geometry-optimized Nb2FePt structure. Source: OQMD via LeMat-Bulk, functional PBE-GGA.

## Properties
Electronic total energy   -34.94 eV per cell
Formation energy   -0.0969 eV/atom
Total moment   1.42 μB/f.u.
Space group   F-43m

Cell: 4.462 4.462 4.462 Å, 60.00 60.00 60.00°
Element x y z (fractional)
Nb: 0.000 0.000 0.000
Nb: 0.250 0.250 0.250
Fe: 0.750 0.750 0.750
Pt: 0.500 0.500 0.500